Here is a relaxed structure of Ac4MgAg2 from Alexandria. Energies are from PBE-GGA.

DFT formation energy in eV/atom: -0.03
Total magnetic moment in μB per atom: 0.000
E above lowest polymorph in meV per atom: 24
Crystal system: trigonal
Electronic total energy in eV/atom: -3.424

POSCAR file:
```
Ac4MgAg2
1.0
-2.4808 0.1210 5.0662
-4.0361 -3.7378 1.2548
4.2340 -7.0234 5.3830
Ac Mg Ag
4 1 2
Cartesian
-1.0027 -8.6245 9.1408 Ac
-4.1477 -5.7685 7.5326 Ac
-1.2803 -2.0157 2.5632 Ac
1.8647 -4.8718 4.1714 Ac
-1.1415 -5.3201 5.8520 Mg
-3.0062 -3.6267 4.8984 Ag
0.7233 -7.0136 6.8056 Ag
```